(1)
PrMgNp: optimized geometry, PBE.

Results
calculated density = 6383 kg/m3
energy = -5.453 eV/atom

Cell: 5.289 5.289 5.289 Å, 60.00 60.00 60.00°
Fractional coordinates of all 3 atoms:
1 Pr 0.000 0.000 0.000
2 Mg 0.750 0.750 0.750
3 Np 0.500 0.500 0.500

(2)
TmMgNb: optimized geometry, PBE.

Results
calculated density = 5571 kg/m3
energy = -4.146 eV/atom

Cell: 4.941 4.941 4.941 Å, 60.00 60.00 60.00°
Fractional coordinates of all 3 atoms:
1 Tm 0.000 0.000 0.000
2 Mg 0.750 0.750 0.750
3 Nb 0.250 0.250 0.250

(3)
TlAu15: optimized geometry, PBE.

Results
calculated density = 13449 kg/m3
energy = -3.183 eV/atom

Cell: 5.827 2.931 45.668 Å, 90.00 90.01 90.00°
Fractional coordinates of all 32 atoms:
1 Tl 0.125 0.250 0.359
2 Tl 0.875 0.750 0.641
3 Au 0.118 0.250 0.702
4 Au 0.124 0.250 0.794
5 Au 0.125 0.250 0.068
6 Au 0.125 0.250 0.160
7 Au 0.125 0.250 0.252
8 Au 0.125 0.250 0.886
9 Au 0.125 0.250 0.977
10 Au 0.368 0.750 0.298
11 Au 0.374 0.750 0.206
12 Au 0.375 0.750 0.023
13 Au 0.375 0.750 0.658
14 Au 0.375 0.750 0.748
15 Au 0.375 0.750 0.840
16 Au 0.375 0.750 0.932
17 Au 0.376 0.750 0.114
18 Au 0.624 0.250 0.886
19 Au 0.625 0.250 0.068
20 Au 0.625 0.250 0.160
21 Au 0.625 0.250 0.252
22 Au 0.625 0.250 0.342
23 Au 0.625 0.250 0.977
24 Au 0.626 0.250 0.794
25 Au 0.632 0.250 0.702
26 Au 0.875 0.750 0.023
27 Au 0.875 0.750 0.114
28 Au 0.875 0.750 0.748
29 Au 0.875 0.750 0.840
30 Au 0.875 0.750 0.932
31 Au 0.876 0.750 0.206
32 Au 0.882 0.750 0.298

(4)
PaSnB: optimized geometry, PBE.

Results
calculated density = 8291 kg/m3
energy = -5.297 eV/atom

Cell: 4.674 4.674 4.674 Å, 60.00 60.00 60.00°
Fractional coordinates of all 3 atoms:
1 Pa 0.000 0.000 0.000
2 Sn 0.750 0.750 0.750
3 B 0.500 0.500 0.500